The following is a PBE with a Hubbard U calculation of HfFe2F after structural relaxation, from Alexandria via LeMat-Bulk.

Calculated values
Total magnetization in μB/atom: 1.430
Crystal system: tetragonal
Uncorrected energy in eV/atom: -5.688
Polymorph energy (0 for the lowest one) in eV per formula unit: 0.00

The structure in CIF format:
```
data_HfFe2F
_cell_length_a 6.4652
_cell_length_b 6.4652
_cell_length_c 6.8181
_cell_angle_alpha 90.00
_cell_angle_beta 90.00
_cell_angle_gamma 90.00
_space_group_name_H-M_alt 'I -4 2 d'
_space_group_IT_number 122
_space_group_name_Hall 'I -4 2bw'
loop_
_atom_site_label
_atom_site_type_symbol
_atom_site_fract_x
_atom_site_fract_y
_atom_site_fract_z
_atom_site_occupancy
Hf1 Hf 0.0000 0.0000 0.0000 1
Fe1 Fe 0.1690 0.2500 0.6250 1
F1 F 0.0000 0.0000 0.5000 1
```